[1]
# Zn3SO | the Alexandria database | PBE | optimized geometry
# Relative energy among the computed polymorphs ... 711 meV per atom
# DFT total energy ... -2.04 eV/atom
data_Zn3SO
_symmetry_space_group_name_H-M 'P 1'
_symmetry_Int_Tables_number 1
_cell_length_a 4.6636
_cell_length_b 4.6636
_cell_length_c 4.6636
_cell_angle_alpha 90.00
_cell_angle_beta 90.00
_cell_angle_gamma 90.00
loop_
_symmetry_equiv_pos_as_xyz
'x,y,z'
loop_
_atom_site_label
_atom_site_fract_x
_atom_site_fract_y
_atom_site_fract_z
_atom_site_occupancy
Zn1 0.0000 0.0000 0.5000 1
Zn2 0.5000 0.0000 0.0000 1
O1 0.5000 0.5000 0.5000 1
Zn3 0.0000 0.5000 0.0000 1
S1 0.0000 0.0000 0.0000 1

---

[2]
# Li3HgAu | the Alexandria database | PBE | optimized geometry
# Formation energy ... -0.413 eV per atom
# Relative energy among the computed polymorphs ... 0 meV per atom
# DFT total energy ... -2.28 eV/atom
data_Li3HgAu
_symmetry_space_group_name_H-M 'P 1'
_symmetry_Int_Tables_number 1
_cell_length_a 4.8336
_cell_length_b 5.6614
_cell_length_c 7.7308
_cell_angle_alpha 113.98
_cell_angle_beta 108.81
_cell_angle_gamma 102.42
loop_
_symmetry_equiv_pos_as_xyz
'x,y,z'
loop_
_atom_site_label
_atom_site_fract_x
_atom_site_fract_y
_atom_site_fract_z
_atom_site_occupancy
Li1 0.0210 0.7481 0.0056 1
Au1 0.2023 0.7435 0.3848 1
Li2 0.8008 0.7428 0.5910 1
Li3 0.9790 0.2519 0.9944 1
Au2 0.7977 0.2565 0.6152 1
Li4 0.1992 0.2572 0.4090 1
Hg1 0.5795 0.2669 0.1973 1
Hg2 0.4205 0.7331 0.8027 1
Li5 0.6250 0.7817 0.2261 1
Li6 0.3750 0.2183 0.7739 1

---

[3]
# Tm2GaCu6 | the Alexandria database | PBE | optimized geometry
# Formation energy ... -0.266 eV per atom
# DFT total energy ... -4.33 eV/atom
data_Tm2GaCu6
_symmetry_space_group_name_H-M 'P 1'
_symmetry_Int_Tables_number 1
_cell_length_a 5.4870
_cell_length_b 5.4822
_cell_length_c 5.4822
_cell_angle_alpha 59.96
_cell_angle_beta 90.01
_cell_angle_gamma 90.01
loop_
_symmetry_equiv_pos_as_xyz
'x,y,z'
loop_
_atom_site_label
_atom_site_fract_x
_atom_site_fract_y
_atom_site_fract_z
_atom_site_occupancy
Cu1 0.3380 0.8198 0.3620 1
Cu2 0.3380 0.3620 0.8198 1
Tm1 0.8450 0.6663 0.6663 1
Tm2 0.1550 0.3337 0.3337 1
Cu3 0.6651 0.1813 0.1813 1
Ga1 0.0000 0.0000 0.0000 1
Cu4 0.6620 0.6380 0.1802 1
Cu5 0.3349 0.8187 0.8187 1
Cu6 0.6620 0.1802 0.6380 1

---

[4]
# La2Al4Ga3Hg | the Alexandria database | PBE | optimized geometry
# Formation energy ... -0.430 eV per atom
# DFT total energy ... -3.85 eV/atom
data_La2Al4Ga3Hg
_symmetry_space_group_name_H-M 'P 1'
_symmetry_Int_Tables_number 1
_cell_length_a 4.4252
_cell_length_b 4.4252
_cell_length_c 10.8942
_cell_angle_alpha 90.00
_cell_angle_beta 90.00
_cell_angle_gamma 90.00
loop_
_symmetry_equiv_pos_as_xyz
'x,y,z'
loop_
_atom_site_label
_atom_site_fract_x
_atom_site_fract_y
_atom_site_fract_z
_atom_site_occupancy
Ga1 0.5000 0.0000 0.8675 1
Al1 0.0000 0.5000 0.3634 1
Al2 0.5000 0.5000 0.0000 1
Hg1 0.5000 0.5000 0.5000 1
La1 0.0000 0.5000 0.7507 1
Al3 0.0000 0.0000 0.0000 1
Al4 0.5000 0.0000 0.6366 1
Ga2 0.0000 0.5000 0.1325 1
La2 0.5000 0.0000 0.2493 1
Ga3 0.0000 0.0000 0.5000 1

---

[5]
# Dy2CoP3Rh4 | the Alexandria database | PBE | optimized geometry
# Formation energy ... -0.956 eV per atom
# DFT total energy ... -7.15 eV/atom
data_Dy2CoP3Rh4
_symmetry_space_group_name_H-M 'P 1'
_symmetry_Int_Tables_number 1
_cell_length_a 4.0411
_cell_length_b 4.0411
_cell_length_c 9.8028
_cell_angle_alpha 90.00
_cell_angle_beta 90.00
_cell_angle_gamma 90.00
loop_
_symmetry_equiv_pos_as_xyz
'x,y,z'
loop_
_atom_site_label
_atom_site_fract_x
_atom_site_fract_y
_atom_site_fract_z
_atom_site_occupancy
Co1 0.5000 0.5000 0.5000 1
Rh1 0.0000 0.0000 0.0000 1
Rh2 0.5000 0.0000 0.6290 1
P1 0.0000 0.5000 0.1384 1
Dy1 0.5000 0.0000 0.2546 1
P2 0.0000 0.0000 0.5000 1
P3 0.5000 0.0000 0.8616 1
Rh3 0.5000 0.5000 0.0000 1
Dy2 0.0000 0.5000 0.7454 1
Rh4 0.0000 0.5000 0.3710 1

---

[6]
# K2AgP2 | the Alexandria database | PBE | optimized geometry
# Formation energy ... -0.184 eV per atom
# Relative energy among the computed polymorphs ... 0 meV per atom
# DFT total energy ... -3.36 eV/atom
data_K2AgP2
_symmetry_space_group_name_H-M 'P 1'
_symmetry_Int_Tables_number 1
_cell_length_a 6.8488
_cell_length_b 6.8488
_cell_length_c 5.2281
_cell_angle_alpha 90.00
_cell_angle_beta 90.00
_cell_angle_gamma 90.00
loop_
_symmetry_equiv_pos_as_xyz
'x,y,z'
loop_
_atom_site_label
_atom_site_fract_x
_atom_site_fract_y
_atom_site_fract_z
_atom_site_occupancy
P1 0.1125 0.3875 0.0000 1
P2 0.6125 0.1125 0.0000 1
K1 0.3207 0.1793 0.5000 1
K2 0.6793 0.8207 0.5000 1
K3 0.1793 0.6793 0.5000 1
P3 0.8875 0.6125 0.0000 1
K4 0.8207 0.3207 0.5000 1
Ag1 0.5000 0.5000 0.0000 1
Ag2 0.0000 0.0000 0.0000 1
P4 0.3875 0.8875 0.0000 1

---

[7]
# Ta2FeIr | the Alexandria database | PBE | optimized geometry
# Formation energy ... -0.309 eV per atom
# DFT total energy ... -10.57 eV/atom
data_Ta2FeIr
_symmetry_space_group_name_H-M 'P 1'
_symmetry_Int_Tables_number 1
_cell_length_a 2.9112
_cell_length_b 2.9112
_cell_length_c 7.1916
_cell_angle_alpha 90.00
_cell_angle_beta 90.00
_cell_angle_gamma 90.00
loop_
_symmetry_equiv_pos_as_xyz
'x,y,z'
loop_
_atom_site_label
_atom_site_fract_x
_atom_site_fract_y
_atom_site_fract_z
_atom_site_occupancy
Ta1 0.0000 0.0000 0.4811 1
Fe1 0.5000 0.5000 0.2500 1
Ta2 0.0000 0.0000 0.0189 1
Ir1 0.5000 0.5000 0.7500 1

---

[8]
# Sr2ZrTa | the Alexandria database | PBE | optimized geometry
# Formation energy ... 0.655 eV per atom
# Relative energy among the computed polymorphs ... 210 meV per atom
# DFT total energy ... -5.29 eV/atom
data_Sr2ZrTa
_symmetry_space_group_name_H-M 'P 1'
_symmetry_Int_Tables_number 1
_cell_length_a 5.1311
_cell_length_b 5.1311
_cell_length_c 8.2675
_cell_angle_alpha 87.18
_cell_angle_beta 87.18
_cell_angle_gamma 37.52
loop_
_symmetry_equiv_pos_as_xyz
'x,y,z'
loop_
_atom_site_label
_atom_site_fract_x
_atom_site_fract_y
_atom_site_fract_z
_atom_site_occupancy
Sr1 0.9918 0.9918 0.0585 1
Ta1 0.5066 0.5066 0.4227 1
Sr2 0.7610 0.7610 0.6920 1
Zr1 0.2406 0.2406 0.3267 1

---

[9]
# Cs2GaI3 | the Alexandria database | PBE | optimized geometry
# Relative energy among the computed polymorphs ... 0 meV per atom
# DFT total energy ... -2.69 eV/atom
data_Cs2GaI3
_symmetry_space_group_name_H-M 'P 1'
_symmetry_Int_Tables_number 1
_cell_length_a 7.7867
_cell_length_b 9.8835
_cell_length_c 18.0013
_cell_angle_alpha 88.61
_cell_angle_beta 86.47
_cell_angle_gamma 66.80
loop_
_symmetry_equiv_pos_as_xyz
'x,y,z'
loop_
_atom_site_label
_atom_site_fract_x
_atom_site_fract_y
_atom_site_fract_z
_atom_site_occupancy
Cs1 0.4089 0.6156 0.6511 1
Ga1 0.3407 0.0133 0.3218 1
I1 0.5311 0.3642 0.1274 1
I2 0.0054 0.9891 0.7500 1
I3 0.9946 0.0109 0.2500 1
Cs2 0.3393 0.7849 0.0745 1
Cs3 0.9754 0.6156 0.8489 1
I4 0.4689 0.6358 0.8726 1
I5 0.3565 0.2871 0.7500 1
Ga2 0.6593 0.9867 0.6782 1
Cs4 0.8757 0.7849 0.4255 1
Ga3 0.6460 0.0133 0.1782 1
I6 0.3355 0.8380 0.4624 1
I7 0.6645 0.1620 0.5376 1
Cs5 0.6607 0.2151 0.9255 1
I8 0.1736 0.1620 0.9624 1
Cs6 0.0246 0.3844 0.1511 1
Cs7 0.5911 0.3844 0.3489 1
Ga4 0.3540 0.9867 0.8218 1
I9 0.6435 0.7129 0.2500 1
I10 0.8264 0.8380 0.0376 1
Cs8 0.1243 0.2151 0.5745 1
I11 0.1047 0.3642 0.3726 1
I12 0.8953 0.6358 0.6274 1

---

[10]
# CdCu4Au3 | the Alexandria database | PBE | optimized geometry
# Formation energy ... -0.039 eV per atom
# DFT total energy ... -3.43 eV/atom
data_CdCu4Au3
_symmetry_space_group_name_H-M 'P 1'
_symmetry_Int_Tables_number 1
_cell_length_a 4.6462
_cell_length_b 5.8561
_cell_length_c 9.0433
_cell_angle_alpha 90.00
_cell_angle_beta 90.00
_cell_angle_gamma 90.00
loop_
_symmetry_equiv_pos_as_xyz
'x,y,z'
loop_
_atom_site_label
_atom_site_fract_x
_atom_site_fract_y
_atom_site_fract_z
_atom_site_occupancy
Au1 0.0000 0.0000 0.0000 1
Au2 0.5938 0.5000 0.7500 1
Cu1 0.8856 0.7589 0.2500 1
Au3 0.6060 0.0000 0.7500 1
Au4 0.0000 0.0000 0.5000 1
Cu2 0.1144 0.7589 0.7500 1
Cu3 0.5000 0.2431 0.0000 1
Cu4 0.1144 0.2411 0.7500 1
Cu5 0.5000 0.7569 0.5000 1
Cd1 0.0000 0.5000 0.5000 1
Cd2 0.0000 0.5000 0.0000 1
Cu6 0.5000 0.2431 0.5000 1
Cu7 0.5000 0.7569 0.0000 1
Au5 0.3940 0.0000 0.2500 1
Cu8 0.8856 0.2411 0.2500 1
Au6 0.4062 0.5000 0.2500 1

---

[11]
# SnB2RhBr | the Alexandria database | PBE | optimized geometry
# DFT total energy ... -3.45 eV/atom
data_SnB2RhBr
_symmetry_space_group_name_H-M 'P 1'
_symmetry_Int_Tables_number 1
_cell_length_a 4.2238
_cell_length_b 4.9026
_cell_length_c 4.2238
_cell_angle_alpha 90.00
_cell_angle_beta 90.00
_cell_angle_gamma 90.00
loop_
_symmetry_equiv_pos_as_xyz
'x,y,z'
loop_
_atom_site_label
_atom_site_fract_x
_atom_site_fract_y
_atom_site_fract_z
_atom_site_occupancy
B1 0.0000 0.0000 0.5000 1
B2 0.5000 0.0000 0.0000 1
Sn1 0.5000 0.5000 0.5000 1
Br1 0.0000 0.0000 0.0000 1
Rh1 0.0000 0.5000 0.0000 1

---

[12]
# NiSnI2N | the Alexandria database | PBE | optimized geometry
# Relative energy among the computed polymorphs ... 0 meV per atom
# DFT total energy ... -3.79 eV/atom
data_NiSnI2N
_symmetry_space_group_name_H-M 'P 1'
_symmetry_Int_Tables_number 1
_cell_length_a 5.7986
_cell_length_b 5.7986
_cell_length_c 3.5511
_cell_angle_alpha 90.00
_cell_angle_beta 90.00
_cell_angle_gamma 90.00
loop_
_symmetry_equiv_pos_as_xyz
'x,y,z'
loop_
_atom_site_label
_atom_site_fract_x
_atom_site_fract_y
_atom_site_fract_z
_atom_site_occupancy
I1 0.0000 0.5000 0.0000 1
Sn1 0.5000 0.5000 0.5000 1
I2 0.5000 0.0000 0.0000 1
Ni1 0.0000 0.0000 0.0000 1
N1 0.0000 0.0000 0.5000 1

---

[13]
# CaYRu2C | the Alexandria database | PBE | optimized geometry
# Formation energy ... 2.766 eV per atom
# DFT total energy ... -4.48 eV/atom
data_CaYRu2C
_symmetry_space_group_name_H-M 'P 1'
_symmetry_Int_Tables_number 1
_cell_length_a 4.5130
_cell_length_b 5.5524
_cell_length_c 4.5130
_cell_angle_alpha 90.00
_cell_angle_beta 90.00
_cell_angle_gamma 90.00
loop_
_symmetry_equiv_pos_as_xyz
'x,y,z'
loop_
_atom_site_label
_atom_site_fract_x
_atom_site_fract_y
_atom_site_fract_z
_atom_site_occupancy
Ru1 0.5000 0.0000 0.0000 1
C1 0.5000 0.5000 0.5000 1
Ru2 0.0000 0.0000 0.5000 1
Y1 0.0000 0.5000 0.0000 1
Ca1 0.0000 0.0000 0.0000 1

---

Computed values of total magnetization (unit: μB/f.u.) for the preceding records, in sequence: 0.0; 0.0; 0.0; 0.0; 1.9; 0.2; 0.4; 0.0; 0.0; 0.0; 0.0; 0.2; 0.0.